VASP calculation (PBE) on a relaxed structure of Sc2WSe.

As for the energy relative to the elements, uncorrected: -0.2385 eV/atom. The value obtained for the calculated density is 7.5 Mg/m³.

Cell and atoms, written as CIF:
```
data_Sc2WSe
_symmetry_space_group_name_H-M 'C 1 m 1'
_symmetry_Int_Tables_number 8
_cell_length_a 10.454
_cell_length_b 3.135
_cell_length_c 4.943
_cell_angle_alpha 90.00
_cell_angle_beta 105.97
_cell_angle_gamma 90.00
loop_
_symmetry_equiv_pos_as_xyz
'x,y,z'
'x,-y,z'
'x+1/2,y+1/2,z'
'x+1/2,-y+1/2,z'
loop_
_atom_site_label
_atom_site_type_symbol
_atom_site_fract_x
_atom_site_fract_y
_atom_site_fract_z
Sc1 Sc 0.000 0.000 0.000
Sc2 Sc 0.209 0.000 0.642
W1 W 0.252 0.500 0.147
Se1 Se 0.440 0.000 0.466
```



VASP calculation (PBE) on a relaxed structure of Sc2WSe.

As for the energy relative to the elements, uncorrected: -0.3747 eV/atom. The value obtained for the calculated density is 7.6 Mg/m³.

Cell and atoms, written as CIF:
```
data_Sc2WSe
_symmetry_space_group_name_H-M 'C m m m'
_symmetry_Int_Tables_number 65
_symmetry_space_group_name_Hall '-C 2 2'
_cell_length_a 3.789
_cell_length_b 5.073
_cell_length_c 7.996
_cell_angle_alpha 90.00
_cell_angle_beta 90.00
_cell_angle_gamma 90.00
loop_
_atom_site_label
_atom_site_type_symbol
_atom_site_fract_x
_atom_site_fract_y
_atom_site_fract_z
Sc1 Sc 0.000 0.000 0.242
W1 W 0.000 0.500 0.500
Se1 Se 0.000 0.500 0.000
```



VASP calculation (PBE) on a relaxed structure of Sc2WSe.

As for the energy relative to the elements, uncorrected: 0.0597 eV/atom. The value obtained for the calculated density is 7.4 Mg/m³.

Cell and atoms, written as CIF:
```
data_Sc2WSe
_symmetry_space_group_name_H-M 'C m m 2'
_symmetry_Int_Tables_number 35
_cell_length_a 3.684
_cell_length_b 5.002
_cell_length_c 8.616
_cell_angle_alpha 90.00
_cell_angle_beta 90.00
_cell_angle_gamma 90.00
loop_
_symmetry_equiv_pos_as_xyz
'x,y,z'
'-x,-y,z'
'-x,y,z'
'x,-y,z'
'x+1/2,y+1/2,z'
'-x+1/2,-y+1/2,z'
'-x+1/2,y+1/2,z'
'x+1/2,-y+1/2,z'
loop_
_atom_site_label
_atom_site_type_symbol
_atom_site_fract_x
_atom_site_fract_y
_atom_site_fract_z
Sc1 Sc 0.000 0.000 0.000
Sc2 Sc 0.000 0.500 0.314
W1 W 0.000 0.000 0.563
Se1 Se 0.000 0.500 0.783
```



VASP calculation (PBE) on a relaxed structure of Sc2WSe.

As for the energy relative to the elements, uncorrected: 0.2366 eV/atom. The value obtained for the calculated density is 7.2 Mg/m³.

Cell and atoms, written as CIF:
```
data_Sc2WSe
_symmetry_space_group_name_H-M 'I -4 2 d'
_symmetry_Int_Tables_number 122
_symmetry_space_group_name_Hall 'I -4 2bw'
_cell_length_a 7.460
_cell_length_b 7.460
_cell_length_c 5.808
_cell_angle_alpha 90.00
_cell_angle_beta 90.00
_cell_angle_gamma 90.00
loop_
_atom_site_label
_atom_site_type_symbol
_atom_site_fract_x
_atom_site_fract_y
_atom_site_fract_z
Sc1 Sc 0.226 0.250 0.125
W1 W 0.000 0.000 0.500
Se1 Se 0.000 0.000 0.000
```



VASP calculation (PBE) on a relaxed structure of Sc2WSe.

As for the energy relative to the elements, uncorrected: -0.0285 eV/atom. The value obtained for the calculated density is 7.8 Mg/m³.

Cell and atoms, written as CIF:
```
data_Sc2WSe
_symmetry_space_group_name_H-M 'I -4 m 2'
_symmetry_Int_Tables_number 119
_symmetry_space_group_name_Hall 'I -4 -2'
_cell_length_a 3.966
_cell_length_b 3.966
_cell_length_c 9.530
_cell_angle_alpha 90.00
_cell_angle_beta 90.00
_cell_angle_gamma 90.00
loop_
_atom_site_label
_atom_site_type_symbol
_atom_site_fract_x
_atom_site_fract_y
_atom_site_fract_z
Sc1 Sc 0.000 0.000 0.000
Sc2 Sc 0.000 0.500 0.250
W1 W 0.000 0.000 0.500
Se1 Se 0.000 0.500 0.750
```



VASP calculation (PBE) on a relaxed structure of YSc4Se5.

As for the energy relative to the elements, uncorrected: -1.6147 eV/atom. The value obtained for the calculated density is 5.2 Mg/m³.

Cell and atoms, written as CIF:
```
data_YSc4Se5
_symmetry_space_group_name_H-M 'I m m m'
_symmetry_Int_Tables_number 71
_symmetry_space_group_name_Hall '-I 2 2'
_cell_length_a 3.916
_cell_length_b 5.543
_cell_length_c 19.639
_cell_angle_alpha 90.00
_cell_angle_beta 90.00
_cell_angle_gamma 90.00
loop_
_atom_site_label
_atom_site_type_symbol
_atom_site_fract_x
_atom_site_fract_y
_atom_site_fract_z
Y1 Y 0.000 0.000 0.000
Sc1 Sc 0.000 0.000 0.204
Sc2 Sc 0.000 0.000 0.400
Se1 Se 0.000 0.500 0.000
Se2 Se 0.000 0.500 0.199
Se3 Se 0.000 0.500 0.394
```



VASP calculation (PBE) on a relaxed structure of Y2ScSe.

As for the energy relative to the elements, uncorrected: -0.7654 eV/atom. The value obtained for the calculated density is 4.5 Mg/m³.

Cell and atoms, written as CIF:
```
data_Y2ScSe
_symmetry_space_group_name_H-M 'R -3 m'
_symmetry_Int_Tables_number 166
_symmetry_space_group_name_Hall '-R 3 2"'
_cell_length_a 3.7378
_cell_length_b 3.7378
_cell_length_c 27.5275
_cell_angle_alpha 90.00
_cell_angle_beta 90.00
_cell_angle_gamma 120.00
loop_
_atom_site_label
_atom_site_type_symbol
_atom_site_fract_x
_atom_site_fract_y
_atom_site_fract_z
Y1 Y 0.0000 0.0000 0.2355
Sc1 Sc 0.0000 0.0000 0.0000
Se1 Se 0.0000 0.0000 0.5000
```



VASP calculation (PBE) on a relaxed structure of Y3ScSe.

As for the energy relative to the elements, uncorrected: -0.4074 eV/atom. The value obtained for the calculated density is 4.1 Mg/m³.

Cell and atoms, written as CIF:
```
data_Y3ScSe
_symmetry_space_group_name_H-M 'P m -3 m'
_symmetry_Int_Tables_number 221
_symmetry_space_group_name_Hall '-P 4 2 3'
_cell_length_a 5.401
_cell_length_b 5.401
_cell_length_c 5.401
_cell_angle_alpha 90.00
_cell_angle_beta 90.00
_cell_angle_gamma 90.00
loop_
_atom_site_label
_atom_site_type_symbol
_atom_site_fract_x
_atom_site_fract_y
_atom_site_fract_z
Y1 Y 0.000 0.000 0.500
Sc1 Sc 0.500 0.500 0.500
Se1 Se 0.000 0.000 0.000
```



VASP calculation (PBE) on a relaxed structure of YScSe.

As for the energy relative to the elements, uncorrected: -0.9177 eV/atom. The value obtained for the calculated density is 5.0 Mg/m³.

Cell and atoms, written as CIF:
```
data_YScSe
_symmetry_space_group_name_H-M 'I 4 m m'
_symmetry_Int_Tables_number 107
_symmetry_space_group_name_Hall 'I 4 -2'
_cell_length_a 3.555
_cell_length_b 3.555
_cell_length_c 11.247
_cell_angle_alpha 90.00
_cell_angle_beta 90.00
_cell_angle_gamma 90.00
loop_
_atom_site_label
_atom_site_type_symbol
_atom_site_fract_x
_atom_site_fract_y
_atom_site_fract_z
Y1 Y 0.000 0.000 0.000
Sc1 Sc 0.000 0.000 0.304
Se1 Se 0.000 0.000 0.681
```



VASP calculation (PBE) on a relaxed structure of Y2ScSe.

As for the energy relative to the elements, uncorrected: -0.7690 eV/atom. The value obtained for the calculated density is 4.6 Mg/m³.

Cell and atoms, written as CIF:
```
data_Y2ScSe
_symmetry_space_group_name_H-M 'R 3 m'
_symmetry_Int_Tables_number 160
_symmetry_space_group_name_Hall 'R 3 -2"'
_cell_length_a 3.6963
_cell_length_b 3.6963
_cell_length_c 27.8831
_cell_angle_alpha 90.00
_cell_angle_beta 90.00
_cell_angle_gamma 120.00
loop_
_atom_site_label
_atom_site_type_symbol
_atom_site_fract_x
_atom_site_fract_y
_atom_site_fract_z
Y1 Y 0.0000 0.0000 0.0000
Y2 Y 0.0000 0.0000 0.2285
Sc1 Sc 0.0000 0.0000 0.7658
Se1 Se 0.0000 0.0000 0.4925
```



VASP calculation (PBE) on a relaxed structure of YScSe2.

As for the energy relative to the elements, uncorrected: -1.6734 eV/atom. The value obtained for the calculated density is 5.4 Mg/m³.

Cell and atoms, written as CIF:
```
data_YScSe2
_symmetry_space_group_name_H-M 'C 1 2/m 1'
_symmetry_Int_Tables_number 12
_cell_length_a 6.894
_cell_length_b 3.994
_cell_length_c 6.891
_cell_angle_alpha 90.00
_cell_angle_beta 109.65
_cell_angle_gamma 90.00
loop_
_symmetry_equiv_pos_as_xyz
'x,y,z'
'-x,-y,-z'
'-x,y,-z'
'x,-y,z'
'x+1/2,y+1/2,z'
'-x+1/2,-y+1/2,-z'
'-x+1/2,y+1/2,-z'
'x+1/2,-y+1/2,z'
loop_
_atom_site_label
_atom_site_type_symbol
_atom_site_fract_x
_atom_site_fract_y
_atom_site_fract_z
Y1 Y 0.000 0.000 0.000
Sc1 Sc 0.000 0.500 0.500
Se1 Se 0.244 0.000 0.734
```



VASP calculation (PBE) on a relaxed structure of Y2ScSe.

As for the energy relative to the elements, uncorrected: -0.4848 eV/atom. The value obtained for the calculated density is 5.0 Mg/m³.

Cell and atoms, written as CIF:
```
data_Y2ScSe
_symmetry_space_group_name_H-M 'C m m m'
_symmetry_Int_Tables_number 65
_symmetry_space_group_name_Hall '-C 2 2'
_cell_length_a 6.548
_cell_length_b 8.676
_cell_length_c 3.531
_cell_angle_alpha 90.00
_cell_angle_beta 90.00
_cell_angle_gamma 90.00
loop_
_atom_site_label
_atom_site_type_symbol
_atom_site_fract_x
_atom_site_fract_y
_atom_site_fract_z
Y1 Y 0.250 0.250 0.000
Sc1 Sc 0.000 0.000 0.500
Se1 Se 0.000 0.500 0.500
```



What is the energy relative to the elements, uncorrected in the first record? -0.2385 eV/atom



Look up the energy relative to the elements, uncorrected of the fifth one. -0.0285 eV/atom